Below is an optimized crystal structure of LaCu2GePd2, with properties calculated at the PBE-GGA level.

Cell: 4.492 4.492 5.808 Å, 90.00 90.00 90.00°
Space group P4/mmm (No. 123)
Asymmetric unit:
La1 0.000 0.000 0.000 x1
Cu1 0.000 0.500 0.500 x2
Ge1 0.000 0.000 0.500 x1
Pd1 0.500 0.500 0.239 x2

Computed properties:
Total DFT energy (no corrections), eV per atom: -4.86
Calculated formation energy, meV per atom: -171

Below is an optimized crystal structure of HoPuHgRu, with properties calculated at the PBE-GGA level.

Cell: 7.115 7.115 7.115 Å, 90.00 90.00 90.00°
Space group F-43m (No. 216)
Asymmetric unit:
Ho1 0.000 0.000 0.000 x4
Pu1 0.000 0.000 0.500 x4
Hg1 0.250 0.250 0.250 x4
Ru1 0.250 0.250 0.750 x4

Computed properties:
Total DFT energy (no corrections), eV per atom: -7.26
Calculated formation energy, meV per atom: -136

Below is an optimized crystal structure of LiRh2Se, with properties calculated at the PBE-GGA level.

Cell: 8.509 2.895 4.719 Å, 90.00 99.51 90.00°
Space group C2/m (No. 12)
Asymmetric unit:
Li1 0.000 0.000 0.000 x2
Rh1 0.243 0.000 0.746 x4
Se1 0.000 0.500 0.500 x2

Computed properties:
Total DFT energy (no corrections), eV per atom: -5.23

Below is an optimized crystal structure of ErCo2C, with properties calculated at the PBE-GGA level.

Cell: 3.595 15.354 3.535 Å, 90.00 90.00 90.00°
Space group Cmcm (No. 63)
Asymmetric unit:
Er1 0.000 0.105 0.250 x4
Co1 0.000 0.251 0.750 x4
Co2 0.000 0.450 0.250 x4
C1 0.000 0.319 0.250 x4

Computed properties:
Total DFT energy (no corrections), eV per atom: -7.14
Calculated formation energy, meV per atom: -138

Below is an optimized crystal structure of Ce3As2Rh7, with properties calculated at the PBE-GGA level.

Cell: 4.063 4.063 26.306 Å, 90.00 90.00 90.00°
Space group I4/mmm (No. 139)
Asymmetric unit:
Ce1 0.000 0.000 0.000 x2
Ce2 0.000 0.000 0.174 x4
As1 0.000 0.000 0.368 x4
Rh1 0.000 0.000 0.273 x4
Rh2 0.000 0.000 0.500 x2
Rh3 0.000 0.500 0.080 x8

Computed properties:
Total DFT energy (no corrections), eV per atom: -7.32
Calculated formation energy, meV per atom: -774

Below is an optimized crystal structure of LiSnPt, with properties calculated at the PBE-GGA level.

Cell: 6.213 6.213 6.213 Å, 90.00 90.00 90.00°
Space group F-43m (No. 216)
Asymmetric unit:
Li1 0.000 0.000 0.000 x4
Sn1 0.000 0.000 0.500 x4
Pt1 0.250 0.250 0.750 x4

Computed properties:
Total DFT energy (no corrections), eV per atom: -4.55
Calculated formation energy, meV per atom: -566

Below is an optimized crystal structure of K4SrU3O12, with properties calculated at the PBE-GGA level.

Cell: 8.775 8.775 8.775 Å, 90.00 90.00 90.00°
Space group Im-3m (No. 229)
Asymmetric unit:
K1 0.250 0.250 0.250 x8
Sr1 0.000 0.000 0.000 x2
U1 0.000 0.000 0.500 x6
O1 0.000 0.000 0.278 x12
O2 0.000 0.250 0.500 x12

Computed properties:
Total DFT energy (no corrections), eV per atom: -7.81

Below is an optimized crystal structure of MnW2Cl, with properties calculated at the PBE-GGA level.

Cell: 3.167 4.805 8.711 Å, 90.00 90.00 90.00°
Space group Cmm2 (No. 35)
Asymmetric unit:
Mn1 0.000 0.000 0.000 x2
W1 0.000 0.000 0.521 x2
W2 0.000 0.500 0.759 x2
Cl1 0.000 0.500 0.212 x2

Computed properties:
Total DFT energy (no corrections), eV per atom: -8.87